VASP calculation (meta-GGA SCAN) on a crystal of TiPtAu3 relaxed with PBEsol.

a b c (Å): 4.935 4.935 4.935
angles (deg): 90.00 90.00 90.00
Last column: magnetic moment on the atom in μB.
Sites, in units of the cell vectors:
Au: 0.000 0.500 0.000  -0.01
Au: 0.000 0.000 0.500  -0.01
Au: 0.500 0.000 0.000  -0.01
Pt: 0.000 0.000 0.000  0.09
Ti: 0.500 0.500 0.500  1.92

formation energy: 0.71 eV per atom
space group: No. 221



VASP calculation (meta-GGA SCAN) on a crystal of BaTl2Tc relaxed with PBEsol.

a b c (Å): 3.292 5.726 6.467
angles (deg): 116.28 104.75 90.00
Last column: magnetic moment on the atom in μB.
Sites, in units of the cell vectors:
Ba: 0.000 0.500 0.000  -0.07
Tc: 0.500 0.000 0.000  1.67
Tl: 0.794 0.794 0.588  -0.03
Tl: 0.206 0.206 0.412  -0.03

formation energy: 0.42 eV per atom
space group: No. 71
ΔE to the lowest computed polymorph: 0.00 eV/f.u.



VASP calculation (meta-GGA SCAN) on a crystal of KAuBr2 relaxed with PBEsol.

a b c (Å): 5.244 5.244 7.922
angles (deg): 70.67 70.67 60.00
Sites, in units of the cell vectors:
K: 0.500 0.500 0.500
Au: 0.000 0.000 0.000
Br: 0.892 0.892 0.325
Br: 0.108 0.108 0.675

space group: No. 166
energy relative to the elements, uncorrected: -964 meV/atom
ΔE to the lowest computed polymorph: 0.00 eV/f.u.



VASP calculation (meta-GGA SCAN) on a crystal of Y2TaSb relaxed with PBEsol.

a b c (Å): 3.916 4.532 5.972
angles (deg): 90.00 109.14 90.00
Last column: magnetic moment on the atom in μB.
Sites, in units of the cell vectors:
Sb: 0.824 0.000 0.647  -0.01
Ta: 0.675 0.500 0.351  0.43
Y: 0.105 0.000 0.209  0.11
Y: 0.401 0.500 0.801  -0.02

space group: No. 38
energy relative to the elements, uncorrected: -234 meV/atom



VASP calculation (meta-GGA SCAN) on a crystal of Cd5Hg4 relaxed with PBEsol.

a b c (Å): 5.825 8.867 8.867
angles (deg): 120.00 90.00 90.00
Sites, in units of the cell vectors:
Cd: 0.750 0.000 0.699
Cd: 0.750 0.699 0.000
Cd: 0.750 0.301 0.301
Cd: 0.250 0.000 0.301
Cd: 0.250 0.301 0.000
Cd: 0.250 0.699 0.699
Cd: 0.000 0.333 0.667
Cd: 0.500 0.667 0.333
Cd: 0.000 0.667 0.333
Cd: 0.500 0.333 0.667
Hg: 0.000 0.000 0.000
Hg: 0.500 0.000 0.000
Hg: 0.750 0.000 0.368
Hg: 0.750 0.368 0.000
Hg: 0.750 0.632 0.632
Hg: 0.250 0.000 0.632
Hg: 0.250 0.632 0.000
Hg: 0.250 0.368 0.368

formation energy: 0.02 eV per atom
space group: No. 193
ΔE to the lowest computed polymorph: 0.00 eV/f.u.



VASP calculation (meta-GGA SCAN) on a crystal of NiAsBr2N relaxed with PBEsol.

a b c (Å): 4.503 4.503 4.258
angles (deg): 90.00 90.00 90.00
Last column: magnetic moment on the atom in μB.
Sites, in units of the cell vectors:
Ni: 0.500 0.500 0.500  1.27
As: 0.000 0.000 0.500  -0.09
Br: 0.000 0.500 0.000  -0.09
Br: 0.500 0.000 0.000  -0.09
N: 0.000 0.000 0.000  -0.15

space group: No. 123
energy relative to the elements, uncorrected: 1349 meV/atom



VASP calculation (meta-GGA SCAN) on a crystal of NdP2Pt2 relaxed with PBEsol.

a b c (Å): 4.239 4.239 10.022
angles (deg): 102.21 102.21 90.00
Sites, in units of the cell vectors:
Nd: 0.625 0.625 0.251
Nd: 0.375 0.375 0.749
P: 0.930 0.930 0.861
P: 0.070 0.070 0.139
P: 0.250 0.750 0.500
P: 0.750 0.250 0.500
Pt: 0.807 0.807 0.615
Pt: 0.193 0.193 0.385
Pt: 0.500 0.000 0.000
Pt: 0.000 0.500 0.000

formation energy: -1.14 eV per atom
space group: No. 139



VASP calculation (meta-GGA SCAN) on a crystal of ZrInO2 relaxed with PBEsol.

a b c (Å): 3.289 3.289 7.583
angles (deg): 77.47 77.47 60.00
Sites, in units of the cell vectors:
O: 0.876 0.876 0.371
O: 0.124 0.124 0.629
Zr: 0.500 0.500 0.500
In: 0.000 0.000 0.000

space group: No. 166
energy relative to the elements, uncorrected: -2502 meV/atom



no.,M_tot (Bohr magnetons per cell)
1,2.380
2,1.437
3,0.000
4,0.620
5,0.000
6,0.714
7,0.000
8,0.001